No. 1
Below is a relaxed CsPb3Br crystal, with properties calculated at the GGA-PBE level.

Summary:
- spin magnetization (μB/cell) = 0.0
- formation energy from raw total energies (kJ/mol of formula units) = 516
- ρ (Mg/m³) = 5.121
- N(E_F) (states/eV per cell) = 10.13
- distance to the lowest polymorph of the same formula (eV/f.u.) = 4.41

```
data_CsPb3Br
_symmetry_space_group_name_H-M 'P m -3 m'
_symmetry_Int_Tables_number 221
_symmetry_space_group_name_Hall '-P 4 2 3'
_cell_length_a 6.468
_cell_length_b 6.468
_cell_length_c 6.468
_cell_angle_alpha 90.00
_cell_angle_beta 90.00
_cell_angle_gamma 90.00
loop_
_atom_site_label
_atom_site_fract_x
_atom_site_fract_y
_atom_site_fract_z
Cs1 0.000 0.000 0.000
Pb1 0.000 0.000 0.500
Br1 0.500 0.500 0.500
```

No. 2
Below is a relaxed Cs2PbBr2 crystal, with properties calculated at the GGA-PBE level.

Summary:
- spin magnetization (μB/cell) = 2.7
- formation energy from raw total energies (kJ/mol of formula units) = -433
- ρ (Mg/m³) = 4.741
- N(E_F) (states/eV per cell) = 6.35

```
data_Cs2PbBr2
_symmetry_space_group_name_H-M 'P 4/m b m'
_symmetry_Int_Tables_number 127
_symmetry_space_group_name_Hall '-P 4 2ab'
_cell_length_a 10.548
_cell_length_b 10.548
_cell_length_c 3.984
_cell_angle_alpha 90.00
_cell_angle_beta 90.00
_cell_angle_gamma 90.00
loop_
_atom_site_label
_atom_site_fract_x
_atom_site_fract_y
_atom_site_fract_z
Cs1 0.143 0.357 0.000
Pb1 0.000 0.000 0.000
Br1 0.151 0.651 0.500
```

No. 3
Below is a relaxed Cs3PbBr crystal, with properties calculated at the GGA-PBE level.

Summary:
- spin magnetization (μB/cell) = 2.0
- formation energy from raw total energies (kJ/mol of formula units) = -286
- ρ (Mg/m³) = 3.476
- N(E_F) (states/eV per cell) = 2.70
- distance to the lowest polymorph of the same formula (eV/f.u.) = 0.00

```
data_Cs3PbBr
_symmetry_space_group_name_H-M 'P m -3 m'
_symmetry_Int_Tables_number 221
_symmetry_space_group_name_Hall '-P 4 2 3'
_cell_length_a 6.894
_cell_length_b 6.894
_cell_length_c 6.894
_cell_angle_alpha 90.00
_cell_angle_beta 90.00
_cell_angle_gamma 90.00
loop_
_atom_site_label
_atom_site_fract_x
_atom_site_fract_y
_atom_site_fract_z
Cs1 0.000 0.000 0.500
Pb1 0.500 0.500 0.500
Br1 0.000 0.000 0.000
```

No. 4
Below is a relaxed Cs2PbBr4 crystal, with properties calculated at the GGA-PBE level.

Summary:
- spin magnetization (μB/cell) = 0.0
- formation energy from raw total energies (kJ/mol of formula units) = -965
- ρ (Mg/m³) = 4.475
- N(E_F) (states/eV per cell) = 0.00
- distance to the lowest polymorph of the same formula (eV/f.u.) = 0.04

```
data_Cs2PbBr4
_symmetry_space_group_name_H-M 'C 1 2/m 1'
_symmetry_Int_Tables_number 12
_cell_length_a 14.393
_cell_length_b 4.685
_cell_length_c 9.641
_cell_angle_alpha 90.00
_cell_angle_beta 115.18
_cell_angle_gamma 90.00
loop_
_symmetry_equiv_pos_as_xyz
'x,y,z'
'-x,-y,-z'
'-x,y,-z'
'x,-y,z'
'x+1/2,y+1/2,z'
'-x+1/2,-y+1/2,-z'
'-x+1/2,y+1/2,-z'
'x+1/2,-y+1/2,z'
loop_
_atom_site_label
_atom_site_fract_x
_atom_site_fract_y
_atom_site_fract_z
Cs1 0.158 0.000 0.173
Pb1 0.000 0.500 0.500
Br1 0.060 0.500 0.843
Br2 0.153 0.000 0.553
```

No. 5
Below is a relaxed CsPb2Br crystal, with properties calculated at the GGA-PBE level.

Summary:
- spin magnetization (μB/cell) = 0.0
- formation energy from raw total energies (kJ/mol of formula units) = -173
- ρ (Mg/m³) = 5.703
- N(E_F) (states/eV per cell) = 7.12
- distance to the lowest polymorph of the same formula (eV/f.u.) = 0.00

```
data_CsPb2Br
_symmetry_space_group_name_H-M 'I -4 2 d'
_symmetry_Int_Tables_number 122
_symmetry_space_group_name_Hall 'I -4 2bw'
_cell_length_a 4.710
_cell_length_b 4.710
_cell_length_c 32.927
_cell_angle_alpha 90.00
_cell_angle_beta 90.00
_cell_angle_gamma 90.00
loop_
_atom_site_label
_atom_site_fract_x
_atom_site_fract_y
_atom_site_fract_z
Cs1 0.000 0.000 0.000
Pb1 0.247 0.250 0.625
Br1 0.000 0.000 0.500
```

No. 6
Below is a relaxed Cs2PbBr3 crystal, with properties calculated at the GGA-PBE level.

Summary:
- spin magnetization (μB/cell) = 3.2
- formation energy from raw total energies (kJ/mol of formula units) = -704
- ρ (Mg/m³) = 4.463
- N(E_F) (states/eV per cell) = 6.69

```
data_Cs2PbBr3
_symmetry_space_group_name_H-M 'C 1 2/c 1'
_symmetry_Int_Tables_number 15
_cell_length_a 15.117
_cell_length_b 7.104
_cell_length_c 10.532
_cell_angle_alpha 90.00
_cell_angle_beta 110.31
_cell_angle_gamma 90.00
loop_
_symmetry_equiv_pos_as_xyz
'x,y,z'
'-x,-y,-z'
'-x,y,-z+1/2'
'x,-y,z+1/2'
'x+1/2,y+1/2,z'
'-x+1/2,-y+1/2,-z'
'-x+1/2,y+1/2,-z+1/2'
'x+1/2,-y+1/2,z+1/2'
loop_
_atom_site_label
_atom_site_fract_x
_atom_site_fract_y
_atom_site_fract_z
Cs1 0.173 0.001 0.086
Pb1 0.000 0.500 0.250
Br1 0.000 0.001 0.750
Br2 0.137 0.499 0.569
```

No. 7
Below is a relaxed Cs3Pb2Br7 crystal, with properties calculated at the GGA-PBE level.

Summary:
- spin magnetization (μB/cell) = 0.0
- formation energy from raw total energies (kJ/mol of formula units) = -1595
- ρ (Mg/m³) = 4.218
- N(E_F) (states/eV per cell) = 0.00

```
data_Cs3Pb2Br7
_symmetry_space_group_name_H-M 'I 4/m m m'
_symmetry_Int_Tables_number 139
_symmetry_space_group_name_Hall '-I 4 2'
_cell_length_a 5.993
_cell_length_b 5.993
_cell_length_c 30.087
_cell_angle_alpha 90.00
_cell_angle_beta 90.00
_cell_angle_gamma 90.00
loop_
_atom_site_label
_atom_site_fract_x
_atom_site_fract_y
_atom_site_fract_z
Cs1 0.000 0.000 0.000
Cs2 0.000 0.000 0.181
Pb1 0.000 0.000 0.398
Br1 0.000 0.000 0.300
Br2 0.000 0.000 0.500
Br3 0.000 0.500 0.098
```

No. 8
Below is a relaxed Cs2PdPbBr6 crystal, with properties calculated at the GGA-PBE level.

Summary:
- spin magnetization (μB/cell) = 0.0
- formation energy from raw total energies (kJ/mol of formula units) = -1027
- ρ (Mg/m³) = 4.945
- N(E_F) (states/eV per cell) = 8.79

```
data_Cs2PdPbBr6
_symmetry_space_group_name_H-M 'I 4/m m m'
_symmetry_Int_Tables_number 139
_symmetry_space_group_name_Hall '-I 4 2'
_cell_length_a 7.945
_cell_length_b 7.945
_cell_length_c 11.264
_cell_angle_alpha 90.00
_cell_angle_beta 90.00
_cell_angle_gamma 90.00
loop_
_atom_site_label
_atom_site_fract_x
_atom_site_fract_y
_atom_site_fract_z
Cs1 0.000 0.500 0.250
Pd1 0.000 0.000 0.000
Pb1 0.000 0.000 0.500
Br1 0.000 0.000 0.237
Br2 0.237 0.237 0.000
```